An optimized crystal structure of Na3Ag4I8. Source: the Alexandria database, functional PBE.

```
Na3Ag4I8
1.0
-2.4935 -7.7565 2.8622
8.6789 1.4910 -1.3042
-0.7717 7.0133 5.4281
Na Ag I
3 4 8
Direct
0.5000 0.5000 0.0000 Na
0.5000 0.5000 0.5000 Na
0.5000 0.0000 0.5000 Na
0.0000 0.5000 0.0000 Ag
0.0000 0.0000 0.5000 Ag
0.5000 0.0000 0.0000 Ag
0.0000 0.0000 0.0000 Ag
0.5000 0.2505 0.7495 I
0.4669 0.2254 0.2254 I
0.9841 0.2312 0.2312 I
0.0000 0.7416 0.2584 I
0.5331 0.7746 0.7746 I
0.0000 0.2584 0.7416 I
0.0159 0.7688 0.7688 I
0.5000 0.7495 0.2505 I
```

Output
The calculation puts the total DFT energy (no corrections) at -2.419 eV/atom. As for the space group: C2/m.